An optimized crystal structure of Ac2Zn6Cu3, computed with PBE.

a b c (Å): 4.1195 7.8307 7.8307
angles (deg): 120.00 90.00 90.00
With the nearest neighbours (Å) after each atom.
Element x y z (fractional)
Ac 0.0000 0.6667 0.3333  6 Cu 3.21, 9 Zn 3.32-3.50
Ac 0.0000 0.3333 0.6667  6 Cu 3.21, 9 Zn 3.32-3.50
Zn 0.5000 0.7176 0.7176  3 Cu 2.65-2.68, 4 Zn 2.84
Zn 0.5000 0.0000 0.2824  3 Cu 2.65-2.68, 4 Zn 2.84
Zn 0.0000 0.1893 0.1893  2 Cu 2.52, 2 Zn 2.57
Zn 0.0000 0.8107 0.0000  2 Cu 2.52, 2 Zn 2.57
Zn 0.5000 0.2824 0.0000  3 Cu 2.65-2.68, 4 Zn 2.84
Zn 0.0000 0.0000 0.8107  2 Cu 2.52, 2 Zn 2.57
Cu 0.5000 0.3753 0.3753  5 Zn 2.52-2.68
Cu 0.5000 0.6247 0.0000  5 Zn 2.52-2.68
Cu 0.5000 0.0000 0.6247  5 Zn 2.52-2.68

## Properties
symmetry = P-62m (189)
uncorrected energy = -2.74 eV/atom
ρ = 7.87 g cm⁻³
DFT formation energy = -183.2 meV per atom